Density functional theory data (PBE-GGA) for a relaxed NaIn5Sn6 crystal.

Lattice parameters (Å, degrees): 6.8876 6.8876 10.3551 90.73 90.73 138.43
Fractional coordinates of all 12 atoms:
Na 0.0000 0.0000 0.0000
In 0.0000 0.0000 0.5000
In 0.3269 0.6731 0.0000
In 0.3368 0.6632 0.5000
In 0.6632 0.3368 0.5000
In 0.6731 0.3269 0.0000
Sn 0.1637 0.8305 0.7455
Sn 0.1695 0.8363 0.2545
Sn 0.4971 0.4971 0.7621
Sn 0.5029 0.5029 0.2379
Sn 0.8305 0.1637 0.7455
Sn 0.8363 0.1695 0.2545

SG: C2/m (12)
Total DFT energy (no corrections) (eV/atom): -3.26
DFT formation energy (kcal/mol of atoms): -0.12
Density of states at the Fermi level (states/eV per atom): 0.39
Magnetic moment (Bohr magnetons per cell): 0.0